This record from Alexandria describes crystalline Be5Ag at its relaxed geometry. The functional is GGA-PBE.

Output
Space-group type = Amm2, No. 38
Total DFT energy (no corrections) = -3.40 eV per atom

The structure in POSCAR format:
```
Be5Ag
1.0
3.682 0.000 0.000
0.000 2.583 0.000
0.000 0.000 12.609
Be Ag
10 2
Direct
0.000 0.000 0.000
0.000 0.000 0.290
0.000 0.000 0.646
0.000 0.500 0.146
0.000 0.500 0.500
0.000 0.500 0.790
0.500 0.000 0.107
0.500 0.000 0.751
0.500 0.500 0.251
0.500 0.500 0.607
0.500 0.000 0.423
0.500 0.500 0.923
```